P) ! AcHoTlCd, optimized geometry, DFT PBE-GGA; values from VASP
&SYSTEM
  ibrav = 0, nat = 4, ntyp = 4
/
ATOMIC_SPECIES
Ac 227.00 Ac.upf
Ho 164.93 Ho.upf
Cd 112.41 Cd.upf
Tl 204.38 Tl.upf
CELL_PARAMETERS angstrom
3.908 0.000 0.000
0.000 3.908 0.000
0.000 0.000 7.943
ATOMIC_POSITIONS crystal
Ac 0.500 0.500 0.112
Ho 0.500 0.500 0.600
Cd 0.000 0.000 0.392
Tl 0.000 0.000 0.824
! Crystal system ... tetragonal
! Calculated volume ... 30.324 Å³/atom

***

Q) ! AcHoTlCd, optimized geometry, DFT PBE-GGA; values from VASP
&SYSTEM
  ibrav = 0, nat = 4, ntyp = 4
/
ATOMIC_SPECIES
Ac 227.00 Ac.upf
Ho 164.93 Ho.upf
Tl 204.38 Tl.upf
Cd 112.41 Cd.upf
CELL_PARAMETERS angstrom
-0.383 -5.161 2.105
2.419 -4.284 -2.648
4.506 -2.460 2.203
ATOMIC_POSITIONS crystal
Ac 0.500 0.500 0.500
Ho 0.000 0.000 0.000
Tl 0.250 0.250 0.250
Cd 0.750 0.750 0.750
! Crystal system ... cubic
! Calculated volume ... 30.825 Å³/atom

***

Q: Which of them is the least stable? A: Q).

***

P) ! AcCd4In, optimized geometry, DFT PBE-GGA; values from VASP
&SYSTEM
  ibrav = 0, nat = 6, ntyp = 3
/
ATOMIC_SPECIES
Cd 112.41 Cd.upf
Ac 227.00 Ac.upf
In 114.82 In.upf
CELL_PARAMETERS angstrom
6.126 0.000 0.000
3.063 5.305 0.000
3.063 1.768 5.002
ATOMIC_POSITIONS crystal
Cd 0.625 0.625 0.625
Cd 0.125 0.625 0.625
Cd 0.625 0.125 0.625
Cd 0.625 0.625 0.125
Ac 0.250 0.250 0.250
In 0.000 0.000 0.000
! Crystal system ... cubic
! Calculated volume ... 27.093 Å³/atom

***

Q) ! AcCd4In, optimized geometry, DFT PBE-GGA; values from VASP
&SYSTEM
  ibrav = 0, nat = 12, ntyp = 3
/
ATOMIC_SPECIES
Cd 112.41 Cd.upf
In 114.82 In.upf
Ac 227.00 Ac.upf
CELL_PARAMETERS angstrom
4.659 0.000 -1.209
0.000 7.449 0.000
-0.083 0.000 9.263
ATOMIC_POSITIONS crystal
Cd 0.061 0.750 0.122
Cd 0.939 0.250 0.878
Cd 0.500 0.500 0.000
Cd 0.333 0.055 0.667
Cd 0.667 0.555 0.333
Cd 0.500 0.000 0.000
Cd 0.333 0.445 0.667
Cd 0.667 0.945 0.333
In 0.228 0.750 0.456
In 0.772 0.250 0.544
Ac 0.874 0.750 0.748
Ac 0.126 0.250 0.252
! Crystal system ... orthorhombic
! Calculated volume ... 26.729 Å³/atom

***

Q: Which of them is the least stable? A: P).

***

P) ! AcCdIn4, optimized geometry, DFT PBE-GGA; values from VASP
&SYSTEM
  ibrav = 0, nat = 6, ntyp = 3
/
ATOMIC_SPECIES
Ac 227.00 Ac.upf
In 114.82 In.upf
Cd 112.41 Cd.upf
CELL_PARAMETERS angstrom
6.263 0.000 0.000
3.132 5.424 0.000
3.132 1.808 5.114
ATOMIC_POSITIONS crystal
Ac 0.250 0.250 0.250
In 0.125 0.625 0.625
In 0.625 0.125 0.625
In 0.625 0.625 0.125
In 0.625 0.625 0.625
Cd 0.000 0.000 0.000
! Crystal system ... cubic
! Calculated volume ... 28.957 Å³/atom

***

Q) ! AcCdIn4, optimized geometry, DFT PBE-GGA; values from VASP
&SYSTEM
  ibrav = 0, nat = 6, ntyp = 3
/
ATOMIC_SPECIES
In 114.82 In.upf
Ac 227.00 Ac.upf
Cd 112.41 Cd.upf
CELL_PARAMETERS angstrom
4.606 0.000 -1.562
0.000 4.978 0.000
-0.036 0.000 7.466
ATOMIC_POSITIONS crystal
In 0.673 0.000 0.346
In 0.820 0.500 0.640
In 0.327 0.000 0.654
In 0.180 0.500 0.360
Ac 0.500 0.500 0.000
Cd 0.000 0.000 0.000
! Crystal system ... orthorhombic
! Calculated volume ... 28.486 Å³/atom

***

Q: Which of them is the least stable? A: P).